Compound: YSn2AsS
Source: Alexandria
Functional: GGA-PBE
Structure: relaxed

```
5
Lattice="5.942 0.000 0.000 0.000 5.217 0.000 0.000 0.000 5.942" Properties=species:S:1:pos:R:3 pbc="T T T"
Sn 2.971 0.000 0.000
Sn 0.000 0.000 2.971
S 2.971 2.608 2.971
As 0.000 2.608 0.000
Y 0.000 0.000 0.000
```

Output
electronic total energy = -19.87 eV per cell
N(E_F) = 1.1596 states/eV per atom